Model i:
The following is a PBE calculation of La2TbBr after structural relaxation, from Alexandria via LeMat-Bulk.

Properties
- calculated density (g cm⁻³) = 6.6
- total magnetization (μB/atom) = 0.0004

abc: 3.5895 3.5895 34.7465
angles: 90.00 90.00 120.00
Space group R-3m (No. 166, hexagonal axes)
One atom of each set of equivalent atoms:
La 0.0000 0.0000 0.0958 [6 per cell]
Tb 0.0000 0.0000 0.0000 [3 per cell]
Br 0.0000 0.0000 0.5000 [3 per cell]

Model ii:
The following is a PBE calculation of La2TbBr after structural relaxation, from Alexandria via LeMat-Bulk.

Properties
- calculated density (g cm⁻³) = 6.6
- total magnetization (μB/atom) = 0.0000

abc: 3.652 3.652 9.775
angles: 90.00 90.00 90.00
Space group P4/mmm (No. 123)
One atom of each set of equivalent atoms:
La 0.000 0.000 0.234 [2 per cell]
Tb 0.500 0.500 0.500 [1 per cell]
Br 0.500 0.500 0.000 [1 per cell]

Among the structures shown above, model ii is the most stable, with the second-best lying 107 meV/atom higher.